Record 1
Computed, not measured: a relaxed structure of Zn6P7 at the PBE level of DFT.

Cell: 9.0163 9.0163 9.0163 Å, 34.35 34.35 34.35°
Sites, in units of the cell vectors:
P1 0.5852 0.0869 0.5852
P2 0.5852 0.5852 0.0869
P3 0.0869 0.5852 0.5852
P4 0.4148 0.9131 0.4148
P5 0.9131 0.4148 0.4148
P6 0.4148 0.4148 0.9131
P7 0.5000 0.5000 0.5000
Zn1 0.0502 0.0502 0.0502
Zn2 0.9498 0.9498 0.9498
Zn3 0.1572 0.1572 0.1572
Zn4 0.8428 0.8428 0.8428
Zn5 0.3331 0.3331 0.3331
Zn6 0.6669 0.6669 0.6669

Calculated values
The formation energy comes out at 5.26 eV per formula unit. The uncorrected energy comes out at -40.25 eV/cell. As for the total magnetization: 0.00 μB/f.u. The value obtained for the density is 4.86 g cm⁻³. The density of states at the Fermi level is 4.6 states/eV per cell. As for the symmetry: R-3m, No. 166. Its calculated volume is 208.2 Å³/f.u. As for the crystal system: trigonal.

Record 2
Computed, not measured: a relaxed structure of Na3CO3 at the PBE level of DFT.

Cell: 4.7848 8.5437 4.7848 Å, 126.53 88.20 126.53°
Sites, in units of the cell vectors:
Na1 0.5034 0.0172 0.0000
Na2 0.4966 0.5138 0.4966
Na3 0.0000 0.0172 0.5034
C1 0.0000 0.6156 0.0000
O1 0.6596 0.5070 0.0000
O2 0.3404 0.8473 0.3404
O3 0.0000 0.5070 0.6596

Calculated values
The uncorrected energy comes out at -37.26 eV/cell. As for the total magnetization: 0.78 μB/f.u. The value obtained for the density is 1.96 g cm⁻³. The density of states at the Fermi level is 1.9 states/eV per cell. As for the energy relative to the elements, uncorrected: -1315 meV per atom. As for the symmetry: R3m, No. 160. Its calculated volume is 109.4 Å³/f.u. As for the crystal system: trigonal.

Record 3
Computed, not measured: a relaxed structure of CuSb at the PBE level of DFT.

Cell: 4.1435 4.1435 4.1435 Å, 60.00 60.00 60.00°
Sites, in units of the cell vectors:
Cu1 0.0000 0.0000 0.0000
Sb1 0.7500 0.7500 0.7500

Calculated values
The uncorrected energy comes out at -7.56 eV/cell. As for the total magnetization: 0.00 μB/f.u. The value obtained for the density is 6.12 g cm⁻³. The density of states at the Fermi level is 1.4 states/eV per cell. As for the energy relative to the elements, uncorrected: 330 meV per atom. As for the symmetry: F-43m, No. 216. Its calculated volume is 50.3 Å³/f.u. As for the crystal system: cubic.